Record 1
{
  "formula": "LiMnO2",
  "functional": "GGA+U",
  "state": "relaxed",
  "sg": "P1 (1)",
  "energy_ev_per_atom": -6.619,
  "n_ef_per_ev_cell": 0.00,
  "lattice": [[5.762, 0.000, 0.000], [0.000, 5.762, 0.000], [-2.880, -2.877, 23.445]],
  "species": ["Li", "Li", "Li", "Li", "Li", "Li", "Li", "Li", "Li", "Li", "Li", "Li", "Li", "Li", "Li", "Li", "Li", "Li", "Li", "Li", "Mn", "Mn", "Mn", "Mn", "Mn", "Mn", "Mn", "Mn", "Mn", "Mn", "Mn", "Mn", "Mn", "Mn", "Mn", "Mn", "Mn", "Mn", "Mn", "Mn", "O", "O", "O", "O", "O", "O", "O", "O", "O", "O", "O", "O", "O", "O", "O", "O", "O", "O", "O", "O", "O", "O", "O", "O", "O", "O", "O", "O", "O", "O", "O", "O", "O", "O", "O", "O", "O", "O", "O", "O"],
  "fractional_positions": [[0.000, 0.000, 0.000], [0.000, 0.492, 0.000], [0.005, 0.004, 0.501], [0.102, 0.602, 0.703], [0.199, 0.209, 0.400], [0.200, 0.702, 0.401], [0.205, 0.197, 0.901], [0.294, 0.798, 0.100], [0.402, 0.403, 0.301], [0.403, 0.401, 0.802], [0.403, 0.896, 0.802], [0.498, 0.004, 0.501], [0.597, 0.606, 0.199], [0.600, 0.102, 0.204], [0.606, 0.602, 0.703], [0.698, 0.197, 0.901], [0.802, 0.798, 0.100], [0.802, 0.809, 0.600], [0.805, 0.307, 0.606], [0.895, 0.403, 0.301], [0.003, 0.505, 0.505], [0.100, 0.102, 0.204], [0.100, 0.602, 0.204], [0.105, 0.102, 0.705], [0.204, 0.698, 0.904], [0.300, 0.299, 0.104], [0.304, 0.304, 0.605], [0.304, 0.804, 0.605], [0.400, 0.904, 0.304], [0.502, 0.498, 0.004], [0.502, 0.999, 0.004], [0.503, 0.505, 0.505], [0.605, 0.102, 0.705], [0.701, 0.705, 0.404], [0.702, 0.206, 0.405], [0.703, 0.698, 0.904], [0.801, 0.299, 0.104], [0.900, 0.904, 0.304], [0.904, 0.900, 0.805], [0.905, 0.400, 0.805], [0.051, 0.069, 0.105], [0.051, 0.531, 0.105], [0.073, 0.055, 0.607], [0.073, 0.555, 0.606], [0.136, 0.151, 0.806], [0.136, 0.650, 0.805], [0.151, 0.136, 0.305], [0.151, 0.673, 0.305], [0.254, 0.275, 0.506], [0.254, 0.737, 0.506], [0.271, 0.249, 0.004], [0.271, 0.749, 0.005], [0.332, 0.352, 0.205], [0.332, 0.853, 0.205], [0.356, 0.334, 0.706], [0.356, 0.871, 0.706], [0.454, 0.468, 0.905], [0.454, 0.930, 0.905], [0.471, 0.456, 0.406], [0.471, 0.956, 0.405], [0.536, 0.055, 0.607], [0.536, 0.555, 0.606], [0.551, 0.068, 0.104], [0.551, 0.531, 0.105], [0.650, 0.136, 0.304], [0.651, 0.674, 0.306], [0.674, 0.151, 0.806], [0.674, 0.650, 0.806], [0.734, 0.249, 0.005], [0.734, 0.749, 0.005], [0.753, 0.274, 0.505], [0.754, 0.737, 0.506], [0.855, 0.334, 0.706], [0.856, 0.872, 0.707], [0.869, 0.352, 0.205], [0.869, 0.853, 0.205], [0.933, 0.956, 0.405], [0.934, 0.456, 0.405], [0.954, 0.468, 0.905], [0.954, 0.930, 0.905]]
}

Record 2
{
  "formula": "Li5Mn3O8",
  "functional": "GGA+U",
  "state": "relaxed",
  "sg": "P-1 (2)",
  "energy_ev_per_atom": -6.179,
  "n_ef_per_ev_cell": 0.08,
  "de_polymorph_mev_per_atom": 93.7,
  "lattice": [[2.893, 0.000, 0.000], [-0.032, 5.890, 0.000], [-0.021, -0.069, 8.235]],
  "species": ["Li", "Li", "Li", "Li", "Li", "Mn", "Mn", "Mn", "O", "O", "O", "O", "O", "O", "O", "O"],
  "fractional_positions": [[0.000, 0.000, 0.000], [0.000, 0.000, 0.500], [0.000, 0.500, 0.000], [0.499, 0.241, 0.775], [0.501, 0.759, 0.225], [0.000, 0.500, 0.500], [0.500, 0.247, 0.240], [0.500, 0.753, 0.760], [0.000, 0.028, 0.252], [0.000, 0.972, 0.748], [0.005, 0.478, 0.257], [0.492, 0.729, 0.511], [0.500, 0.252, 0.019], [0.500, 0.748, 0.981], [0.508, 0.271, 0.489], [0.995, 0.522, 0.743]]
}

Record 3
{
  "formula": "LiMnO4",
  "functional": "GGA+U",
  "state": "relaxed",
  "sg": "Cmcm (63)",
  "energy_ev_per_atom": -5.809,
  "n_ef_per_ev_cell": 0.00,
  "lattice": [[2.765, -4.250, 0.000], [2.765, 4.250, 0.000], [0.000, 0.000, 6.579]],
  "species": ["Li", "Li", "Mn", "Mn", "O", "O", "O", "O", "O", "O", "O", "O"],
  "fractional_positions": [[0.000, 0.000, 0.000], [0.000, 0.000, 0.500], [0.354, 0.646, 0.750], [0.646, 0.354, 0.250], [0.223, 0.294, 0.750], [0.245, 0.755, 0.551], [0.245, 0.755, 0.949], [0.294, 0.223, 0.250], [0.706, 0.777, 0.750], [0.755, 0.245, 0.051], [0.755, 0.245, 0.449], [0.777, 0.706, 0.250]]
}

Record 4
{
  "formula": "Li5Mn3O8",
  "functional": "GGA+U",
  "state": "relaxed",
  "sg": "C2/m (12)",
  "energy_ev_per_atom": -5.883,
  "n_ef_per_ev_cell": 4.98,
  "de_polymorph_mev_per_atom": 389.5,
  "lattice": [[2.577, -1.425, 0.000], [2.577, 1.425, 0.000], [-2.485, 0.000, 20.003]],
  "species": ["Li", "Li", "Li", "Li", "Li", "Mn", "Mn", "Mn", "O", "O", "O", "O", "O", "O", "O", "O"],
  "fractional_positions": [[0.000, 0.000, 0.000], [0.243, 0.243, 0.376], [0.283, 0.283, 0.879], [0.717, 0.717, 0.121], [0.757, 0.757, 0.624], [0.000, 0.000, 0.500], [0.493, 0.493, 0.745], [0.507, 0.507, 0.255], [0.131, 0.131, 0.691], [0.149, 0.149, 0.204], [0.367, 0.367, 0.067], [0.400, 0.400, 0.558], [0.600, 0.600, 0.442], [0.633, 0.633, 0.933], [0.851, 0.851, 0.796], [0.869, 0.869, 0.309]]
}

Record 5
{
  "formula": "LiMnO2",
  "functional": "GGA+U",
  "state": "relaxed",
  "sg": "Cm (8)",
  "energy_ev_per_atom": -6.602,
  "lattice": [[5.666, 0.000, 0.000], [0.000, 2.888, 0.000], [-0.335, 0.000, 5.149]],
  "species": ["Li", "Li", "Mn", "Mn", "O", "O", "O", "O"],
  "fractional_positions": [[0.000, 0.000, 0.000], [0.500, 0.500, 0.000], [0.188, 0.500, 0.561], [0.688, 0.000, 0.561], [0.028, 0.000, 0.369], [0.308, 0.000, 0.800], [0.528, 0.500, 0.369], [0.808, 0.500, 0.800]]
}

Record 6
{
  "formula": "LiMn3O4",
  "functional": "GGA+U",
  "state": "relaxed",
  "sg": "P-1 (2)",
  "energy_ev_per_atom": -7.213,
  "n_ef_per_ev_cell": 2.69,
  "lattice": [[5.283, 0.000, 0.000], [1.553, 5.954, 0.000], [1.490, 2.635, 5.394]],
  "species": ["Li", "Li", "Mn", "Mn", "Mn", "Mn", "Mn", "Mn", "O", "O", "O", "O", "O", "O", "O", "O"],
  "fractional_positions": [[0.017, 0.221, 0.267], [0.983, 0.779, 0.733], [0.002, 0.748, 0.255], [0.500, 0.000, 0.000], [0.500, 0.000, 0.500], [0.500, 0.500, 0.000], [0.500, 0.500, 0.500], [0.998, 0.252, 0.745], [0.245, 0.374, 0.370], [0.251, 0.870, 0.383], [0.261, 0.881, 0.882], [0.275, 0.332, 0.889], [0.725, 0.668, 0.111], [0.739, 0.119, 0.118], [0.749, 0.130, 0.617], [0.755, 0.626, 0.630]]
}

Record 7
{
  "formula": "LiMnO2",
  "functional": "GGA+U",
  "state": "relaxed",
  "sg": "Pnma (62)",
  "energy_ev_per_atom": -6.616,
  "lattice": [[10.075, 0.000, 0.000], [0.000, 2.874, 0.000], [0.000, 0.000, 5.284]],
  "species": ["Li", "Li", "Li", "Li", "Mn", "Mn", "Mn", "Mn", "O", "O", "O", "O", "O", "O", "O", "O"],
  "fractional_positions": [[0.105, 0.250, 0.101], [0.395, 0.750, 0.601], [0.605, 0.250, 0.399], [0.895, 0.750, 0.899], [0.132, 0.750, 0.602], [0.368, 0.250, 0.102], [0.632, 0.750, 0.898], [0.868, 0.250, 0.398], [0.020, 0.250, 0.744], [0.237, 0.250, 0.447], [0.263, 0.750, 0.947], [0.480, 0.750, 0.244], [0.520, 0.250, 0.756], [0.737, 0.250, 0.053], [0.763, 0.750, 0.553], [0.980, 0.750, 0.256]]
}

Record 8
{
  "formula": "LiMnO2",
  "functional": "GGA+U",
  "state": "relaxed",
  "sg": "Cc (9)",
  "energy_ev_per_atom": -6.588,
  "lattice": [[3.176, 0.000, 0.000], [0.000, 4.987, 0.000], [-1.586, 0.000, 10.060]],
  "species": ["Li", "Li", "Li", "Li", "Mn", "Mn", "Mn", "Mn", "O", "O", "O", "O", "O", "O", "O", "O"],
  "fractional_positions": [[0.000, 0.094, 0.000], [0.000, 0.906, 0.500], [0.500, 0.406, 0.500], [0.500, 0.594, 0.000], [0.499, 0.001, 0.250], [0.499, 0.999, 0.750], [0.999, 0.499, 0.750], [0.999, 0.501, 0.250], [0.122, 0.182, 0.362], [0.122, 0.818, 0.862], [0.375, 0.320, 0.138], [0.375, 0.680, 0.638], [0.622, 0.318, 0.862], [0.622, 0.682, 0.362], [0.875, 0.180, 0.638], [0.875, 0.820, 0.138]]
}

Record 9
{
  "formula": "Li2Mn3O6",
  "functional": "GGA+U",
  "state": "relaxed",
  "sg": "C2/m (12)",
  "energy_ev_per_atom": -6.773,
  "de_polymorph_mev_per_atom": 0.0,
  "lattice": [[2.697, -4.325, 0.000], [2.697, 4.325, 0.000], [-1.959, 0.000, 4.900]],
  "species": ["Li", "Li", "Mn", "Mn", "Mn", "O", "O", "O", "O", "O", "O"],
  "fractional_positions": [[0.174, 0.826, 0.000], [0.826, 0.174, 0.000], [0.000, 0.000, 0.500], [0.334, 0.666, 0.500], [0.666, 0.334, 0.500], [0.039, 0.376, 0.725], [0.246, 0.246, 0.303], [0.376, 0.039, 0.725], [0.624, 0.961, 0.275], [0.754, 0.754, 0.697], [0.961, 0.624, 0.275]]
}

Record 10
{
  "formula": "Li6MnO6",
  "functional": "GGA+U",
  "state": "relaxed",
  "sg": "P-1 (2)",
  "energy_ev_per_atom": -5.305,
  "n_ef_per_ev_cell": 5.63,
  "lattice": [[5.360, 0.000, 0.000], [2.290, 4.872, 0.000], [2.374, 1.561, 4.797]],
  "species": ["Li", "Li", "Li", "Li", "Li", "Li", "Mn", "O", "O", "O", "O", "O", "O"],
  "fractional_positions": [[0.014, 0.422, 0.303], [0.219, 0.003, 0.083], [0.430, 0.772, 0.510], [0.570, 0.228, 0.490], [0.781, 0.997, 0.917], [0.986, 0.578, 0.697], [0.500, 0.500, 0.000], [0.144, 0.684, 0.902], [0.286, 0.599, 0.342], [0.427, 0.137, 0.210], [0.573, 0.863, 0.790], [0.714, 0.401, 0.658], [0.856, 0.316, 0.098]]
}

Record 11
{
  "formula": "LiMnO2",
  "functional": "GGA+U",
  "state": "relaxed",
  "sg": "C2/c (15)",
  "energy_ev_per_atom": -6.559,
  "n_ef_per_ev_cell": 0.00,
  "lattice": [[4.116, -4.040, 0.000], [4.116, 4.040, 0.000], [-3.785, 0.000, 4.818]],
  "species": ["Li", "Li", "Li", "Li", "Mn", "Mn", "Mn", "Mn", "O", "O", "O", "O", "O", "O", "O", "O"],
  "fractional_positions": [[0.000, 0.500, 0.500], [0.055, 0.945, 0.750], [0.500, 0.000, 0.000], [0.945, 0.055, 0.250], [0.000, 0.500, 0.000], [0.500, 0.000, 0.500], [0.500, 0.500, 0.000], [0.500, 0.500, 0.500], [0.235, 0.727, 0.981], [0.267, 0.287, 0.026], [0.273, 0.765, 0.519], [0.287, 0.267, 0.526], [0.713, 0.733, 0.474], [0.727, 0.235, 0.481], [0.733, 0.713, 0.974], [0.765, 0.273, 0.019]]
}

Record 12
{
  "formula": "Li2Mn2O3",
  "functional": "GGA+U",
  "state": "relaxed",
  "sg": "C2/m (12)",
  "energy_ev_per_atom": -6.454,
  "de_polymorph_mev_per_atom": 28.7,
  "lattice": [[10.911, 0.000, 0.000], [0.000, 3.095, 0.000], [-2.167, 0.000, 4.713]],
  "species": ["Li", "Li", "Li", "Li", "Mn", "Mn", "Mn", "Mn", "O", "O", "O", "O", "O", "O"],
  "fractional_positions": [[0.147, 0.000, 0.350], [0.353, 0.500, 0.650], [0.647, 0.500, 0.350], [0.853, 0.000, 0.650], [0.136, 0.500, 0.776], [0.364, 0.000, 0.224], [0.636, 0.000, 0.776], [0.864, 0.500, 0.224], [0.000, 0.000, 0.500], [0.211, 0.500, 0.216], [0.289, 0.000, 0.784], [0.500, 0.500, 0.500], [0.711, 0.000, 0.216], [0.789, 0.500, 0.784]]
}

- What is the formula in the tenth record?
  Li6MnO6